# Pr4Y5Tm2 | the Alexandria database | PBE-GGA | optimized geometry
# total magnetization = 0.00 μB/f.u.
# energy above the lowest structure with this stoichiometry = 0.000 eV per formula unit
# formation energy = 0.102 eV/atom
data_Pr4Y5Tm2
_space_group_name_H-M_alt 'C 1 2/m 1'
_space_group_IT_number 12
_cell_length_a 24.2060
_cell_length_b 3.5638
_cell_length_c 8.7119
_cell_angle_alpha 90.00
_cell_angle_beta 94.55
_cell_angle_gamma 90.00
loop_
_space_group_symop_operation_xyz
'x,y,z'
'-x,-y,-z'
'-x,y,-z'
'x,-y,z'
'x+1/2,y+1/2,z'
'-x+1/2,-y+1/2,-z'
'-x+1/2,y+1/2,-z'
'x+1/2,-y+1/2,z'
loop_
_atom_site_label
_atom_site_fract_x
_atom_site_fract_y
_atom_site_fract_z
Pr1 0.0400 0.0000 0.3436
Pr2 0.2248 0.5000 0.8250
Y1 0.0000 0.5000 0.0000
Y2 0.1298 0.0000 0.0434
Y3 0.1845 0.0000 0.4743
Tm1 0.0879 0.5000 0.6967

---

# Tb2SmDy3Se6 | the Alexandria database | PBE-GGA | optimized geometry
# total magnetization = 0.00 μB/f.u.
# formation energy (no corrections) = -1770 meV per atom
data_Tb2SmDy3Se6
_space_group_name_H-M_alt 'C 1 2/m 1'
_space_group_IT_number 12
_cell_length_a 7.0625
_cell_length_b 12.3126
_cell_length_c 7.1165
_cell_angle_alpha 90.00
_cell_angle_beta 109.43
_cell_angle_gamma 90.00
loop_
_space_group_symop_operation_xyz
'x,y,z'
'-x,-y,-z'
'-x,y,-z'
'x,-y,z'
'x+1/2,y+1/2,z'
'-x+1/2,-y+1/2,-z'
'-x+1/2,y+1/2,-z'
'x+1/2,-y+1/2,z'
loop_
_atom_site_label
_atom_site_fract_x
_atom_site_fract_y
_atom_site_fract_z
Tb1 0.0000 0.1661 0.0000
Sm1 0.0000 0.5000 0.0000
Dy1 0.0000 0.0000 0.5000
Dy2 0.0000 0.3365 0.5000
Se1 0.2464 0.0000 0.2527
Se2 0.2460 0.1691 0.7449

---

# HgW2Au | the Alexandria database | PBE-GGA | optimized geometry
# total magnetization = 0.00 μB/f.u.
# formation energy = 0.698 eV/atom
data_HgW2Au
_space_group_name_H-M_alt 'I -4 m 2'
_space_group_IT_number 119
_space_group_name_Hall 'I -4 -2'
_cell_length_a 4.1287
_cell_length_b 4.1287
_cell_length_c 8.1278
_cell_angle_alpha 90.00
_cell_angle_beta 90.00
_cell_angle_gamma 90.00
loop_
_atom_site_label
_atom_site_fract_x
_atom_site_fract_y
_atom_site_fract_z
Hg1 0.0000 0.0000 0.0000
W1 0.0000 0.0000 0.5000
W2 0.0000 0.5000 0.7500
Au1 0.0000 0.5000 0.2500

---

# Sm5DyEr3 | the Alexandria database | PBE-GGA | optimized geometry
# total magnetization = 0.00 μB/f.u.
# energy above the lowest structure with this stoichiometry = 2.832 eV per formula unit
# formation energy = 0.495 eV/atom
data_Sm5DyEr3
_space_group_name_H-M_alt 'C 1 2/m 1'
_space_group_IT_number 12
_cell_length_a 15.1551
_cell_length_b 11.5957
_cell_length_c 9.8479
_cell_angle_alpha 90.00
_cell_angle_beta 129.66
_cell_angle_gamma 90.00
loop_
_space_group_symop_operation_xyz
'x,y,z'
'-x,-y,-z'
'-x,y,-z'
'x,-y,z'
'x+1/2,y+1/2,z'
'-x+1/2,-y+1/2,-z'
'-x+1/2,y+1/2,-z'
'x+1/2,-y+1/2,z'
loop_
_atom_site_label
_atom_site_fract_x
_atom_site_fract_y
_atom_site_fract_z
Sm1 0.0000 0.2453 0.0000
Sm2 0.1460 0.2478 0.7425
Sm3 0.2244 0.5000 0.0456
Sm4 0.2279 0.0000 0.2372
Dy1 0.2475 0.0000 0.5931
Er1 0.0000 0.0000 0.5000
Er2 0.0000 0.5000 0.0000
Er3 0.0086 0.0000 0.8242
Er4 0.0156 0.5000 0.3541

---

# ZnAg2Se2 | the Alexandria database | PBE-GGA | optimized geometry
# total magnetization = 0.00 μB/f.u.
# formation energy (no corrections) = -8 meV per atom
data_ZnAg2Se2
_space_group_name_H-M_alt 'P 4/m b m'
_space_group_IT_number 127
_space_group_name_Hall '-P 4 2ab'
_cell_length_a 7.1984
_cell_length_b 7.1984
_cell_length_c 4.0973
_cell_angle_alpha 90.00
_cell_angle_beta 90.00
_cell_angle_gamma 90.00
loop_
_atom_site_label
_atom_site_fract_x
_atom_site_fract_y
_atom_site_fract_z
Zn1 0.0000 0.0000 0.0000
Ag1 0.1379 0.3621 0.5000
Se1 0.1825 0.6825 0.0000

---

# BaCuRe | the Alexandria database | PBE-GGA | optimized geometry
# total magnetization = 0.66 μB/f.u.
# energy above the lowest structure with this stoichiometry = 0.000 eV per formula unit
# formation energy = 0.934 eV/atom
data_BaCuRe
_space_group_name_H-M_alt 'I 4 m m'
_space_group_IT_number 107
_space_group_name_Hall 'I 4 -2'
_cell_length_a 3.4127
_cell_length_b 3.4127
_cell_length_c 11.5808
_cell_angle_alpha 90.00
_cell_angle_beta 90.00
_cell_angle_gamma 90.00
loop_
_atom_site_label
_atom_site_fract_x
_atom_site_fract_y
_atom_site_fract_z
Ba1 0.0000 0.0000 0.0000
Cu1 0.0000 0.0000 0.7179
Re1 0.0000 0.0000 0.2857

---

# Cs3SrPt | the Alexandria database | PBE-GGA | optimized geometry
# total magnetization = 1.00 μB/f.u.
# formation energy = 0.191 eV/atom
data_Cs3SrPt
_space_group_name_H-M_alt 'P m -3 m'
_space_group_IT_number 221
_space_group_name_Hall '-P 4 2 3'
_cell_length_a 6.8815
_cell_length_b 6.8815
_cell_length_c 6.8815
_cell_angle_alpha 90.00
_cell_angle_beta 90.00
_cell_angle_gamma 90.00
loop_
_atom_site_label
_atom_site_fract_x
_atom_site_fract_y
_atom_site_fract_z
Cs1 0.0000 0.0000 0.5000
Sr1 0.5000 0.5000 0.5000
Pt1 0.0000 0.0000 0.0000

---

# Tb3Ce2Tl4 | the Alexandria database | PBE-GGA | optimized geometry
# total magnetization = 2.20 μB/f.u.
# formation energy = -0.157 eV/atom
data_Tb3Ce2Tl4
_space_group_name_H-M_alt 'C m c e'
_space_group_IT_number 64
_space_group_name_Hall '-C 2ac 2'
_cell_length_a 7.2360
_cell_length_b 16.6209
_cell_length_c 9.2052
_cell_angle_alpha 90.00
_cell_angle_beta 90.00
_cell_angle_gamma 90.00
loop_
_atom_site_label
_atom_site_fract_x
_atom_site_fract_y
_atom_site_fract_z
Tb1 0.0000 0.0000 0.0000
Tb2 0.2500 0.2158 0.2500
Ce1 0.0000 0.1088 0.5745
Tl1 0.0000 0.1856 0.9591
Tl2 0.2500 0.0308 0.2500

---

Which of these has the highest total magnetization? Tb3Ce2Tl4

---

Among the records above, which one has the highest total magnetization? Tb3Ce2Tl4

---

Look up the total magnetization of the first one. 0.00 μB/f.u.